LiEuBr | GGA-PBE | relaxed

Lattice parameters (Å, degrees): 3.9363 3.9363 6.8242 90.00 90.00 120.00
Last column: nearest neighbours and their distance in Å.
Fractional positions:
1 Li 0.0000 0.0000 0.0000  3 Br 2.76
2 Eu 0.6667 0.3333 0.4322  3 Br 3.24
3 Br 0.3333 0.6667 0.7707  3 Li 2.76

Calculated values
- Spin magnetization: 7.51 μB per cell
- DFT total energy: -0.2010 hartree per atom
- Formation energy without anion corrections: -0.850 eV/atom
- Symmetry: No. 156